Here is crystalline LaTmNbO6 at its relaxed geometry from Alexandria. Energies are from GGA-PBE.

```
data_LaTmNbO6
_chemical_formula_sum 'La1 Tm1 Nb1 O6'
_space_group_name_H-M_alt 'P 3 1 2'
_space_group_IT_number 149
_space_group_name_Hall 'P 3 2'
_cell_length_a 5.6173
_cell_length_b 5.6173
_cell_length_c 5.0273
_cell_angle_alpha 90.00
_cell_angle_beta 90.00
_cell_angle_gamma 120.00
loop_
_atom_site_label
_atom_site_type_symbol
_atom_site_fract_x
_atom_site_fract_y
_atom_site_fract_z
La1 La 0.0000 0.0000 0.0000
Tm1 Tm 0.3333 0.6667 0.5000
Nb1 Nb 0.6667 0.3333 0.5000
O1 O 0.3703 0.0269 0.7201
```

Computed properties:
Raw total energy ... -8.3604 eV/atom
Energy relative to the elements, uncorrected ... -2.89 eV/atom